## K2YNO (PBE-GGA)

Data for a relaxed K2YNO crystal.

The structure belongs to space group P4/mmm (No. 123); the cell edges are 4.340, 4.340 and 8.990 Å and the angles 90.00°, 90.00° and 90.00°. Symmetry generates all atoms from K at (0.000, 0.500, 0.000), Y at (0.000, 0.000, 0.500), N at (0.500, 0.500, 0.500) and O at (0.500, 0.500, 0.000).

The calculation puts the formation energy from raw total energies at 13.739 kcal/mol of atoms. The calculation puts the density of states at the Fermi level at 0.684 states/eV per atom.


## KYN2O (PBE-GGA)

Data for a relaxed KYN2O crystal.

The structure belongs to space group P4/mmm (No. 123); the cell edges are 4.162, 4.162 and 4.385 Å and the angles 90.00°, 90.00° and 90.00°. Symmetry generates all atoms from K at (0.000, 0.000, 0.000), Y at (0.500, 0.500, 0.500), N at (0.000, 0.500, 0.000) and O at (0.000, 0.000, 0.500).

The calculation puts the formation energy from raw total energies at 27.327 kcal/mol of atoms. The calculation puts the density of states at the Fermi level at 0.614 states/eV per atom.


## KYN2O (PBE-GGA)

Data for a relaxed KYN2O crystal.

The structure belongs to space group P4/mmm (No. 123); the cell edges are 4.739, 4.739 and 4.416 Å and the angles 90.00°, 90.00° and 90.00°. Symmetry generates all atoms from K at (0.000, 0.000, 0.000), Y at (0.500, 0.500, 0.500), N at (0.000, 0.500, 0.500) and O at (0.500, 0.500, 0.000).

The calculation puts the formation energy from raw total energies at -3.389 kcal/mol of atoms. The calculation puts the density of states at the Fermi level at 0.459 states/eV per atom.


## KZnNO2 (PBE-GGA)

Data for a relaxed KZnNO2 crystal.

The structure belongs to space group P4/mmm (No. 123); the cell edges are 5.033, 5.033 and 5.336 Å and the angles 90.00°, 90.00° and 90.00°. Symmetry generates all atoms from K at (0.000, 0.000, 0.000), Zn at (0.500, 0.500, 0.500), N at (0.000, 0.000, 0.500) and O at (0.000, 0.500, 0.000).

The calculation puts the formation energy from raw total energies at 35.333 kcal/mol of atoms. The calculation puts the density of states at the Fermi level at 0.913 states/eV per atom.


## KZnNO2 (PBE-GGA)

Data for a relaxed KZnNO2 crystal.

The structure belongs to space group P4/mmm (No. 123); the cell edges are 4.097, 4.097 and 4.212 Å and the angles 90.00°, 90.00° and 90.00°. Symmetry generates all atoms from K at (0.000, 0.000, 0.000), Zn at (0.500, 0.500, 0.500), N at (0.500, 0.500, 0.000) and O at (0.000, 0.500, 0.500).

The calculation puts the formation energy from raw total energies at 3.647 kcal/mol of atoms. The calculation puts the density of states at the Fermi level at 0.448 states/eV per atom.


## KZrNO2 (PBE-GGA)

Data for a relaxed KZrNO2 crystal.

The structure belongs to space group P4/mmm (No. 123); the cell edges are 4.119, 4.119 and 4.186 Å and the angles 90.00°, 90.00° and 90.00°. Symmetry generates all atoms from K at (0.000, 0.000, 0.000), Zr at (0.500, 0.500, 0.500), N at (0.000, 0.000, 0.500) and O at (0.000, 0.500, 0.000).

The calculation puts the formation energy from raw total energies at 20.599 kcal/mol of atoms. The calculation puts the density of states at the Fermi level at 0.437 states/eV per atom.


## KZrNO2 (PBE-GGA)

Data for a relaxed KZrNO2 crystal.

The structure belongs to space group P4/mmm (No. 123); the cell edges are 4.220, 4.220 and 4.490 Å and the angles 90.00°, 90.00° and 90.00°. Symmetry generates all atoms from K at (0.000, 0.000, 0.000), Zr at (0.500, 0.500, 0.500), N at (0.500, 0.500, 0.000) and O at (0.000, 0.500, 0.500).

The calculation puts the formation energy from raw total energies at -34.087 kcal/mol of atoms. The calculation puts the density of states at the Fermi level at 0.256 states/eV per atom.


## KOsN2 (PBE-GGA)

Data for a relaxed KOsN2 crystal.

The structure belongs to space group Fm-3m (No. 225); the cell edges are 5.666, 5.666 and 5.666 Å and the angles 90.00°, 90.00° and 90.00°. Symmetry generates all atoms from K at (0.000, 0.000, 0.000), Os at (0.000, 0.000, 0.500) and N at (0.250, 0.250, 0.250).

The calculation puts the formation energy from raw total energies at 43.609 kcal/mol of atoms. The calculation puts the density of states at the Fermi level at 0.622 states/eV per atom. For the polymorph energy (0 for the lowest one), the calculation gives 1772 meV per atom.


## KOsN2 (PBE-GGA)

Data for a relaxed KOsN2 crystal.

The structure belongs to space group R-3m (No. 166, hexagonal axes); the cell edges are 3.0496, 3.0496 and 23.2729 Å and the angles 90.00°, 90.00° and 120.00°. Symmetry generates all atoms from K at (0.0000, 0.0000, 0.0000), Os at (0.0000, 0.0000, 0.5000) and N at (0.0000, 0.0000, 0.4222).

The calculation puts the formation energy from raw total energies at 25.094 kcal/mol of atoms. The calculation puts the density of states at the Fermi level at 1.016 states/eV per atom. For the polymorph energy (0 for the lowest one), the calculation gives 969 meV per atom.


## KOs3N (PBE-GGA)

Data for a relaxed KOs3N crystal.

The structure belongs to space group Pm-3m (No. 221); the cell edges are 4.623, 4.623 and 4.623 Å and the angles 90.00°, 90.00° and 90.00°. Symmetry generates all atoms from K at (0.000, 0.000, 0.000), Os at (0.000, 0.000, 0.500) and N at (0.500, 0.500, 0.500).

The calculation puts the formation energy from raw total energies at 119.400 kcal/mol of atoms. The calculation puts the density of states at the Fermi level at 1.581 states/eV per atom. For the polymorph energy (0 for the lowest one), the calculation gives 3712 meV per atom.


## KOsN2 (PBE-GGA)

Data for a relaxed KOsN2 crystal.

The structure belongs to space group I-42d (No. 122); the cell edges are 5.611, 5.611 and 9.188 Å and the angles 90.00°, 90.00° and 90.00°. Symmetry generates all atoms from K at (0.000, 0.000, 0.000), Os at (0.000, 0.000, 0.500) and N at (0.091, 0.250, 0.625).

The calculation puts the formation energy from raw total energies at 2.738 kcal/mol of atoms. The calculation puts the density of states at the Fermi level at 0.520 states/eV per atom. For the polymorph energy (0 for the lowest one), the calculation gives 0 meV per atom.


## KOsN2 (PBE-GGA)

Data for a relaxed KOsN2 crystal.

The structure belongs to space group R-3m (No. 166, hexagonal axes); the cell edges are 3.2742, 3.2742 and 19.9659 Å and the angles 90.00°, 90.00° and 120.00°. Symmetry generates all atoms from K at (0.0000, 0.0000, 0.0000), Os at (0.0000, 0.0000, 0.5000) and N at (0.0000, 0.0000, 0.1252).

The calculation puts the formation energy from raw total energies at 16.033 kcal/mol of atoms. The calculation puts the density of states at the Fermi level at 0.697 states/eV per atom. For the polymorph energy (0 for the lowest one), the calculation gives 577 meV per atom.